Entry 1:
Computed, not measured: crystalline Hf4Si7Ni4 at its relaxed geometry at the GGA-PBEsol level of DFT.

Lattice parameters (Å, degrees): 5.047 9.379 9.379 85.85 74.39 74.39
Sites, in units of the cell vectors:
Ni  0.103  0.500  0.795
Ni  0.103  0.795  0.500
Ni  0.897  0.205  0.500
Ni  0.897  0.500  0.205
Ni  0.603  0.500  0.795
Ni  0.397  0.205  0.500
Ni  0.397  0.500  0.205
Ni  0.603  0.795  0.500
Si  0.500  0.408  0.592
Si  0.000  0.297  0.703
Si  0.703  0.297  0.297
Si  0.709  0.000  0.582
Si  0.000  0.703  0.297
Si  0.500  0.592  0.408
Si  0.709  0.582  0.000
Si  0.750  0.000  0.000
Si  0.291  0.000  0.418
Si  0.291  0.418  0.000
Si  0.092  0.408  0.408
Si  0.908  0.592  0.592
Si  0.297  0.703  0.703
Si  0.250  0.000  0.000
Hf  0.694  0.806  0.806
Hf  0.500  0.194  0.806
Hf  0.137  0.000  0.727
Hf  0.137  0.727  0.000
Hf  0.863  0.273  0.000
Hf  0.500  0.806  0.194
Hf  0.306  0.194  0.194
Hf  0.863  0.000  0.273

Calculated values
- formation energy without anion corrections (meV per atom) = -834



Entry 2:
Computed, not measured: crystalline BeHgAu2 at its relaxed geometry at the GGA-PBEsol level of DFT.

Lattice parameters (Å, degrees): 3.862 4.092 4.092 90.00 90.00 90.00
Sites, in units of the cell vectors:
Hg  0.500  0.500  0.500
Be  0.500  0.000  0.000
Au  0.000  0.500  0.000
Au  0.000  0.000  0.500

Calculated values
- offset from the most stable computed form (eV/atom) = 0.2485
- formation enthalpy at 0 K (eV per atom) = 0.16



Entry 3:
Computed, not measured: crystalline Co2Ag at its relaxed geometry at the GGA-PBEsol level of DFT.

Lattice parameters (Å, degrees): 2.637 4.295 6.757 90.00 101.25 90.00
Site moments in Bohr magnetons follow the coordinates.
Sites, in units of the cell vectors:
Co  0.436  0.250  0.873  1.68
Co  0.781  0.250  0.562  1.71
Co  0.564  0.750  0.127  1.68
Co  0.219  0.750  0.438  1.71
Ag  0.108  0.250  0.216  0.01
Ag  0.892  0.750  0.784  0.01

Calculated values
- formation enthalpy at 0 K (eV per atom) = 0.39



Entry 4:
Computed, not measured: crystalline CrCo2Os at its relaxed geometry at the GGA-PBEsol level of DFT.

Lattice parameters (Å, degrees): 2.517 4.387 4.387 110.95 90.00 90.00
Site moments in Bohr magnetons follow the coordinates.
Sites, in units of the cell vectors:
Co  0.000  0.500  0.000  0.00
Co  0.000  0.000  0.500  -0.01
Cr  0.500  0.500  0.500  0.39
Os  0.500  0.000  0.000  -0.01

Calculated values
- offset from the most stable computed form (eV/atom) = 0.0441
- formation enthalpy at 0 K (eV per atom) = 0.07



Entry 5:
Computed, not measured: crystalline ReNi2Os at its relaxed geometry at the GGA-PBEsol level of DFT.

Lattice parameters (Å, degrees): 3.667 3.667 4.499 114.06 114.06 90.00
Sites, in units of the cell vectors:
Os  0.500  0.500  0.000
Ni  0.250  0.750  0.500
Ni  0.000  0.000  0.000
Re  0.750  0.250  0.500

Calculated values
- offset from the most stable computed form (eV/atom) = 0.0000
- formation enthalpy at 0 K (eV per atom) = 0.00



Entry 6:
Computed, not measured: crystalline ErCu5 at its relaxed geometry at the GGA-PBEsol level of DFT.

Lattice parameters (Å, degrees): 4.865 4.865 4.865 60.00 60.00 60.00
Sites, in units of the cell vectors:
Cu  0.750  0.750  0.750
Cu  0.872  0.376  0.376
Cu  0.376  0.872  0.376
Cu  0.376  0.376  0.376
Cu  0.376  0.376  0.872
Er  0.000  0.000  0.000

Calculated values
- formation enthalpy at 0 K (eV per atom) = -0.20



Entry 7:
Computed, not measured: crystalline Ta5Mo3 at its relaxed geometry at the GGA-PBEsol level of DFT.

Lattice parameters (Å, degrees): 4.576 4.576 7.793 72.92 72.92 60.00
Sites, in units of the cell vectors:
Ta  0.000  0.000  0.000
Ta  0.624  0.624  0.127
Ta  0.247  0.247  0.260
Ta  0.753  0.753  0.740
Ta  0.376  0.376  0.873
Mo  0.126  0.126  0.623
Mo  0.500  0.500  0.500
Mo  0.874  0.874  0.377

Calculated values
- offset from the most stable computed form (eV/atom) = 0.0607
- formation enthalpy at 0 K (eV per atom) = -0.07



Entry 8:
Computed, not measured: crystalline TePd3I at its relaxed geometry at the GGA-PBEsol level of DFT.

Lattice parameters (Å, degrees): 4.937 4.937 4.937 90.00 90.00 90.00
Sites, in units of the cell vectors:
Pd  0.000  0.500  0.000
Pd  0.500  0.000  0.000
Pd  0.000  0.000  0.500
I  0.000  0.000  0.000
Te  0.500  0.500  0.500

Calculated values
- formation energy without anion corrections (meV per atom) = 626



Entry 9:
Computed, not measured: crystalline LaAlSi2 at its relaxed geometry at the GGA-PBEsol level of DFT.

Lattice parameters (Å, degrees): 3.837 4.583 5.409 107.43 90.00 114.75
Sites, in units of the cell vectors:
Al  0.500  0.000  0.000
Si  0.770  0.541  0.862
Si  0.230  0.459  0.138
La  0.000  0.000  0.500

Calculated values
- formation energy without anion corrections (meV per atom) = -447



Entry 10:
Computed, not measured: crystalline PdAuO2F at its relaxed geometry at the GGA-PBEsol level of DFT.

Lattice parameters (Å, degrees): 4.008 4.008 4.167 90.00 90.00 90.00
Site moments in Bohr magnetons follow the coordinates.
Sites, in units of the cell vectors:
O  0.500  0.000  0.000  0.30
O  0.000  0.500  0.000  0.30
F  0.000  0.000  0.500  0.00
Au  0.000  0.000  0.000  0.10
Pd  0.500  0.500  0.500  0.96

Calculated values
- formation energy without anion corrections (meV per atom) = 401



Entry 11:
Computed, not measured: crystalline Na2Pt at its relaxed geometry at the GGA-PBEsol level of DFT.

Lattice parameters (Å, degrees): 2.764 4.644 5.170 116.69 105.50 90.00
Sites, in units of the cell vectors:
Pt  0.500  0.500  0.000
Na  0.160  0.160  0.320
Na  0.840  0.840  0.680

Calculated values
- formation enthalpy at 0 K (eV per atom) = -0.04



Entry 12:
Computed, not measured: crystalline AlAgRu at its relaxed geometry at the GGA-PBEsol level of DFT.

Lattice parameters (Å, degrees): 4.207 4.207 4.207 60.00 60.00 60.00
Sites, in units of the cell vectors:
Ru  0.250  0.250  0.250
Ag  0.000  0.000  0.000
Al  0.500  0.500  0.500

Calculated values
- formation enthalpy at 0 K (eV per atom) = 0.47



Entry 13:
Computed, not measured: crystalline RbLiI2 at its relaxed geometry at the GGA-PBEsol level of DFT.

Lattice parameters (Å, degrees): 7.363 7.363 7.363 74.35 68.58 111.42
Sites, in units of the cell vectors:
I  0.579  0.125  0.796
I  0.079  0.454  0.125
I  0.921  0.796  0.625
I  0.421  0.625  0.454
Li  0.000  0.500  0.500
Li  0.500  0.750  0.750
Rb  0.500  0.250  0.250
Rb  0.000  0.000  0.000

Calculated values
- formation energy without anion corrections (meV per atom) = -1309



Entry 14:
Computed, not measured: crystalline CaO at its relaxed geometry at the GGA-PBEsol level of DFT.

Lattice parameters (Å, degrees): 3.963 3.963 4.750 90.00 90.00 120.00
Sites, in units of the cell vectors:
Ca  0.667  0.333  0.250
Ca  0.333  0.667  0.750
O  0.667  0.333  0.750
O  0.333  0.667  0.250

Calculated values
- formation energy without anion corrections (meV per atom) = -2924



Entry 15:
Computed, not measured: crystalline IrPtAu2 at its relaxed geometry at the GGA-PBEsol level of DFT.

Lattice parameters (Å, degrees): 2.762 4.797 5.543 115.64 104.43 90.00
Sites, in units of the cell vectors:
Au  0.757  0.257  0.514
Au  0.995  0.995  0.990
Pt  0.240  0.740  0.480
Ir  0.508  0.508  0.015

Calculated values
- offset from the most stable computed form (eV/atom) = 0.0000
- formation enthalpy at 0 K (eV per atom) = 0.29



Entry 16:
Computed, not measured: crystalline ReHg2O5 at its relaxed geometry at the GGA-PBEsol level of DFT.

Lattice parameters (Å, degrees): 7.919 9.107 9.048 114.49 102.01 90.11
Sites, in units of the cell vectors:
O  0.287  0.444  0.946
O  0.467  0.851  0.617
O  0.938  0.308  0.041
O  0.799  0.908  0.417
O  0.397  0.721  0.900
O  0.603  0.279  0.100
O  0.254  0.069  0.020
O  0.062  0.692  0.959
O  0.249  0.400  0.578
O  0.004  0.841  0.679
O  0.746  0.931  0.980
O  0.635  0.245  0.780
O  0.996  0.159  0.321
O  0.201  0.092  0.583
O  0.533  0.149  0.383
O  0.940  0.314  0.648
O  0.060  0.686  0.352
O  0.365  0.755  0.220
O  0.713  0.556  0.054
O  0.751  0.600  0.422
Hg  0.307  0.323  0.188
Hg  0.000  0.000  0.000
Hg  0.500  0.000  0.500
Hg  0.693  0.677  0.812
Hg  0.624  0.391  0.575
Hg  0.658  0.036  0.195
Hg  0.342  0.964  0.805
Hg  0.376  0.609  0.425
Re  0.723  0.349  0.995
Re  0.277  0.651  0.005
Re  0.097  0.241  0.534
Re  0.903  0.759  0.466

Calculated values
- formation energy without anion corrections (meV per atom) = -998



Entry 17:
Computed, not measured: crystalline As2SeIO at its relaxed geometry at the GGA-PBEsol level of DFT.

Lattice parameters (Å, degrees): 5.330 5.373 5.373 90.00 90.00 90.00
Site moments in Bohr magnetons follow the coordinates.
Sites, in units of the cell vectors:
I  0.000  0.000  0.000  -0.01
Se  0.500  0.000  0.000  0.11
O  0.500  0.500  0.500  1.34
As  0.000  0.000  0.500  0.35
As  0.000  0.500  0.000  0.35

Calculated values
- formation energy without anion corrections (meV per atom) = 1727



Entry 18:
Computed, not measured: crystalline Ca2HgPbW at its relaxed geometry at the GGA-PBEsol level of DFT.

Lattice parameters (Å, degrees): 5.100 5.538 5.538 90.00 90.00 90.00
Site moments in Bohr magnetons follow the coordinates.
Sites, in units of the cell vectors:
Hg  0.000  0.000  0.000  0.03
Pb  0.500  0.500  0.500  -0.07
W  0.500  0.000  0.000  1.82
Ca  0.000  0.500  0.000  -0.01
Ca  0.000  0.000  0.500  -0.01

Calculated values
- formation enthalpy at 0 K (eV per atom) = 0.86



Entry 19:
Computed, not measured: crystalline La3CdFe at its relaxed geometry at the GGA-PBEsol level of DFT.

Lattice parameters (Å, degrees): 5.185 5.185 5.185 90.00 90.00 90.00
Sites, in units of the cell vectors:
Cd  0.500  0.500  0.500
Fe  0.000  0.000  0.000
La  0.500  0.000  0.000
La  0.000  0.000  0.500
La  0.000  0.500  0.000

Calculated values
- formation enthalpy at 0 K (eV per atom) = -0.09



Entry 20:
Computed, not measured: crystalline LiSb2TeMo at its relaxed geometry at the GGA-PBEsol level of DFT.

Lattice parameters (Å, degrees): 4.790 4.790 5.038 90.00 90.00 90.00
Site moments in Bohr magnetons follow the coordinates.
Sites, in units of the cell vectors:
Sb  0.000  0.500  0.000  -0.06
Sb  0.500  0.000  0.000  -0.06
Te  0.000  0.000  0.500  -0.06
Mo  0.500  0.500  0.500  3.12
Li  0.000  0.000  0.000  0.01

Calculated values
- formation energy without anion corrections (meV per atom) = 900